{
  "formula": "BeIn3Ag",
  "functional": "PBE-GGA",
  "state": "relaxed",
  "lattice": [[-4.1383, -2.8784, 1.7369], [3.2448, -4.1405, 0.8693], [0.8795, 1.7318, 4.9654]],
  "species": ["In", "In", "In", "Be", "Ag"],
  "frac_coords": [[0.0000, 0.0000, 0.5000], [0.5000, 0.0000, 0.0000], [0.0000, 0.5000, 0.0000], [0.5000, 0.5000, 0.5000], [0.0000, 0.0000, 0.0000]],
  "dft_energy_ev_per_cell": -11.0,
  "n_ef_per_ev_cell": 3.69,
  "delta_e_f_ev_per_atom": 0.765,
  "volume_a3_per_cell": 151.6,
  "space_group": "Pm-3m (221)",
  "density_kg_m3": 5054,
  "e_above_lowest_polymorph_kcal_per_mol_atoms": 9.54,
  "magnetic_moment_mub_per_atom": 0.00
}

---

{
  "formula": "Be2InAg",
  "functional": "PBE-GGA",
  "state": "relaxed",
  "lattice": [[-0.2417, 1.6103, 3.8407], [1.7012, -3.6260, 1.1664], [3.0998, 1.3368, -0.3654]],
  "species": ["In", "Be", "Be", "Ag"],
  "frac_coords": [[0.5000, 0.0000, 0.5000], [0.0000, 0.0000, 0.0000], [0.5000, 0.5000, 0.0000], [0.0000, 0.5000, 0.5000]],
  "dft_energy_ev_per_cell": -11.3,
  "n_ef_per_ev_cell": 0.54,
  "delta_e_f_ev_per_atom": 0.427,
  "volume_a3_per_cell": 58.8,
  "space_group": "Cmmm (65)",
  "density_kg_m3": 6800,
  "magnetic_moment_mub_per_atom": 0.00
}

---

{
  "formula": "BeIn2Ag",
  "functional": "PBE-GGA",
  "state": "relaxed",
  "lattice": [[-0.1200, 2.8947, -0.8281], [-1.3806, -1.1030, -3.6555], [-5.9469, 0.3647, 2.1360]],
  "species": ["In", "In", "Be", "Ag"],
  "frac_coords": [[0.0000, 0.0000, 0.9830], [0.0000, 0.0000, 0.5170], [0.5000, 0.5000, 0.7500], [0.5000, 0.5000, 0.2500]],
  "dft_energy_ev_per_cell": -10.6,
  "n_ef_per_ev_cell": 1.59,
  "delta_e_f_ev_per_atom": 0.351,
  "volume_a3_per_cell": 77.4,
  "space_group": "Pmmm (47)",
  "density_kg_m3": 7431,
  "magnetic_moment_mub_per_atom": 0.00
}

---

{
  "formula": "BeIn2Ag",
  "functional": "PBE-GGA",
  "state": "relaxed",
  "lattice": [[-3.8428, 0.4685, -3.4192], [-4.4275, 0.2622, 2.6470], [4.3914, 2.6701, 0.5140]],
  "species": ["Ag", "In", "In", "Be"],
  "frac_coords": [[0.2500, 0.7500, 0.5000], [0.5000, 0.5000, 0.0000], [0.0000, 0.0000, 0.0000], [0.7500, 0.2500, 0.5000]],
  "dft_energy_ev_per_cell": -10.6,
  "n_ef_per_ev_cell": 1.49,
  "delta_e_f_ev_per_atom": 0.374,
  "volume_a3_per_cell": 77.5,
  "space_group": "I4/mmm (139)",
  "density_kg_m3": 7423,
  "magnetic_moment_mub_per_atom": 0.00
}

---

{
  "formula": "BeIn2Ag",
  "functional": "PBE-GGA",
  "state": "relaxed",
  "lattice": [[6.6810, 0.0177, -0.0111], [4.6177, 4.8283, 0.0111], [-5.2974, -3.2436, 2.4602]],
  "species": ["In", "In", "Be", "Ag"],
  "frac_coords": [[0.7566, 0.2566, 0.5000], [0.0533, 0.0533, 0.0000], [0.2605, 0.7605, 0.5000], [0.4296, 0.4296, 0.0000]],
  "dft_energy_ev_per_cell": -11.1,
  "n_ef_per_ev_cell": 1.16,
  "delta_e_f_ev_per_atom": 0.238,
  "volume_a3_per_cell": 79.3,
  "space_group": "Imm2 (44)",
  "density_kg_m3": 7258,
  "magnetic_moment_mub_per_atom": 0.00
}

---

{
  "formula": "Be2InAg",
  "functional": "PBE-GGA",
  "state": "relaxed",
  "lattice": [[-2.2111, 2.9872, -1.8974], [-2.2752, -0.4829, 1.8910], [2.3614, 3.5227, 2.7943]],
  "species": ["Ag", "In", "Be", "Be"],
  "frac_coords": [[0.5000, 0.7500, 0.7500], [0.5000, 0.2500, 0.2500], [0.0000, 0.4164, 0.5548], [0.0000, 0.0836, 0.9452]],
  "dft_energy_ev_per_cell": -11.3,
  "n_ef_per_ev_cell": 0.98,
  "delta_e_f_ev_per_atom": 0.440,
  "volume_a3_per_cell": 63.1,
  "space_group": "P2/m (10)",
  "density_kg_m3": 6336,
  "magnetic_moment_mub_per_atom": 0.00
}

---

{
  "formula": "Be2InAg",
  "functional": "PBE-GGA",
  "state": "relaxed",
  "lattice": [[2.9932, 0.0000, 0.0000], [0.0000, 3.0369, 0.0000], [0.0000, 0.0000, 6.4773]],
  "species": ["Be", "Be", "Ag", "In"],
  "frac_coords": [[0.5000, 0.5000, 0.1870], [0.0000, 0.0000, 0.0375], [0.5000, 0.5000, 0.8126], [0.0000, 0.0000, 0.4628]],
  "dft_energy_ev_per_cell": -11.7,
  "n_ef_per_ev_cell": 0.97,
  "delta_e_f_ev_per_atom": 0.340,
  "volume_a3_per_cell": 58.9,
  "space_group": "Pmm2 (25)",
  "density_kg_m3": 6789,
  "magnetic_moment_mub_per_atom": 0.00
}

---

{
  "formula": "BeIn2Ag",
  "functional": "PBE-GGA",
  "state": "relaxed",
  "lattice": [[4.3277, 0.0000, 0.0000], [0.0000, 3.7164, 0.0257], [0.0000, 3.1543, 5.1918]],
  "species": ["In", "In", "Ag", "Be"],
  "frac_coords": [[0.0000, 0.8200, 0.9842], [0.0000, 0.6800, 0.5158], [0.5000, 0.2500, 0.2500], [0.5000, 0.7500, 0.7500]],
  "dft_energy_ev_per_cell": -10.8,
  "n_ef_per_ev_cell": 1.04,
  "delta_e_f_ev_per_atom": 0.322,
  "volume_a3_per_cell": 83.2,
  "space_group": "P2/m (10)",
  "density_kg_m3": 6920,
  "magnetic_moment_mub_per_atom": 0.00
}

---

{
  "formula": "Be2InAg",
  "functional": "PBE-GGA",
  "state": "relaxed",
  "lattice": [[4.4362, 0.0000, 0.0000], [2.2181, 3.8419, 0.0000], [2.2181, 1.2806, 3.6221]],
  "species": ["Be", "Be", "In", "Ag"],
  "frac_coords": [[0.2500, 0.2500, 0.2500], [0.0000, 0.0000, 0.0000], [0.7500, 0.7500, 0.7500], [0.5000, 0.5000, 0.5000]],
  "dft_energy_ev_per_cell": -10.7,
  "n_ef_per_ev_cell": 2.01,
  "delta_e_f_ev_per_atom": 0.588,
  "volume_a3_per_cell": 61.7,
  "space_group": "F-43m (216)",
  "density_kg_m3": 6475,
  "magnetic_moment_mub_per_atom": 0.00
}

---

{
  "formula": "Be2InAg",
  "functional": "PBE-GGA",
  "state": "relaxed",
  "lattice": [[3.6225, 0.0000, 0.0000], [0.0000, 4.0280, 0.0000], [0.0000, 0.0000, 4.0280]],
  "species": ["In", "Ag", "Be", "Be"],
  "frac_coords": [[0.5000, 0.5000, 0.0000], [0.5000, 0.0000, 0.5000], [0.0000, 0.5000, 0.5000], [0.0000, 0.0000, 0.0000]],
  "dft_energy_ev_per_cell": -11.4,
  "n_ef_per_ev_cell": 0.88,
  "delta_e_f_ev_per_atom": 0.422,
  "volume_a3_per_cell": 58.8,
  "space_group": "P4/mmm (123)",
  "density_kg_m3": 6801,
  "magnetic_moment_mub_per_atom": 0.00
}

---

{
  "formula": "BeIn2Ag",
  "functional": "PBE-GGA",
  "state": "relaxed",
  "lattice": [[8.7019, -0.0079, -0.0047], [8.0948, 3.1933, -0.0047], [8.0948, 1.5351, 2.8001]],
  "species": ["Be", "In", "In", "Ag"],
  "frac_coords": [[0.7500, 0.7500, 0.7500], [0.4929, 0.4929, 0.4929], [0.0071, 0.0071, 0.0071], [0.2500, 0.2500, 0.2500]],
  "dft_energy_ev_per_cell": -11.0,
  "n_ef_per_ev_cell": 0.87,
  "delta_e_f_ev_per_atom": 0.270,
  "volume_a3_per_cell": 78.1,
  "space_group": "R-3m (166)",
  "density_kg_m3": 7366,
  "magnetic_moment_mub_per_atom": 0.00
}

---

{
  "formula": "BeIn2Ag",
  "functional": "PBE-GGA",
  "state": "relaxed",
  "lattice": [[5.2941, 0.0108, 0.0000], [1.9178, 4.9346, 0.0000], [-3.6060, -2.4727, 2.9851]],
  "species": ["Be", "In", "In", "Ag"],
  "frac_coords": [[0.7500, 0.2500, 0.5000], [0.0000, 0.0000, 0.0000], [0.2500, 0.7500, 0.5000], [0.5000, 0.5000, 0.0000]],
  "dft_energy_ev_per_cell": -10.6,
  "n_ef_per_ev_cell": 1.34,
  "delta_e_f_ev_per_atom": 0.372,
  "volume_a3_per_cell": 77.9,
  "space_group": "I-4m2 (119)",
  "density_kg_m3": 7384,
  "magnetic_moment_mub_per_atom": 0.00
}